# 1
{
  "formula": "NbSiP",
  "functional": "PBE",
  "state": "relaxed",
  "final_energy_ev_per_cell": -90.127,
  "raw_formation_energy_kj_per_mol_atoms": -52.4,
  "total_magnetization_mub_per_fu": 0.0,
  "mass_density_kg_m3": 5365,
  "cell": [[8.926, 0.000, 0.000], [0.000, 3.363, 0.000], [-2.529, 0.000, 6.267]],
  "species": ["Nb", "Nb", "Nb", "Nb", "Si", "Si", "Si", "Si", "P", "P", "P", "P"],
  "frac_coords": [[0.000, 0.000, 0.000], [0.126, 0.500, 0.665], [0.500, 0.500, 0.000], [0.626, 0.000, 0.665], [0.343, 0.000, 0.653], [0.438, 0.500, 0.359], [0.843, 0.500, 0.653], [0.938, 0.000, 0.359], [0.157, 0.500, 0.297], [0.271, 0.000, 0.972], [0.657, 0.000, 0.297], [0.771, 0.500, 0.972]]
}

***

# 2
{
  "formula": "LaNd3Ge4",
  "functional": "PBE",
  "state": "relaxed",
  "formation_energy_ev_per_atom": -0.641,
  "final_energy_ev_per_cell": -85.655,
  "total_magnetization_mub_per_fu": 0.0,
  "mass_density_kg_m3": 6354,
  "cell": [[4.127, 0.000, 0.000], [0.000, 6.644, 0.000], [0.000, 0.000, 16.433]],
  "species": ["La", "La", "Nd", "Nd", "Nd", "Nd", "Nd", "Nd", "Ge", "Ge", "Ge", "Ge", "Ge", "Ge", "Ge", "Ge"],
  "frac_coords": [[0.000, 0.000, 0.000], [0.500, 0.500, 0.500], [0.000, 0.000, 0.500], [0.000, 0.500, 0.304], [0.000, 0.500, 0.696], [0.500, 0.000, 0.196], [0.500, 0.000, 0.804], [0.500, 0.500, 0.000], [0.000, 0.313, 0.132], [0.000, 0.313, 0.868], [0.000, 0.687, 0.132], [0.000, 0.687, 0.868], [0.500, 0.187, 0.368], [0.500, 0.187, 0.632], [0.500, 0.813, 0.368], [0.500, 0.813, 0.632]]
}

***

# 3
{
  "formula": "KMnIn",
  "functional": "PBE",
  "state": "relaxed",
  "polymorph_energy_mev_per_atom": 138,
  "formation_energy_ev_per_atom": 0.509,
  "final_energy_ev_per_cell": -11.477,
  "total_magnetization_mub_per_fu": 3.6,
  "mass_density_kg_m3": 3463,
  "cell": [[4.790, 0.000, 0.000], [-2.395, 4.149, 0.000], [0.000, 0.000, 5.039]],
  "species": ["K", "Mn", "In"],
  "frac_coords": [[0.000, 0.000, 0.000], [0.667, 0.333, 0.500], [0.333, 0.667, 0.500]]
}

***

# 4
{
  "formula": "BaSb4Os",
  "functional": "PBE",
  "state": "relaxed",
  "final_energy_ev_per_cell": -25.839,
  "raw_formation_energy_kj_per_mol_atoms": 61.2,
  "total_magnetization_mub_per_fu": 2.6,
  "mass_density_kg_m3": 7739,
  "cell": [[0.000, 4.438, 4.438], [4.438, 0.000, 4.438], [4.438, 4.438, 0.000]],
  "species": ["Ba", "Sb", "Sb", "Sb", "Sb", "Os"],
  "frac_coords": [[0.000, 0.000, 0.000], [0.377, 0.377, 0.377], [0.377, 0.377, 0.870], [0.377, 0.870, 0.377], [0.870, 0.377, 0.377], [0.750, 0.750, 0.750]]
}

***

# 5
{
  "formula": "La6Ir2PtCl3",
  "functional": "PBE",
  "state": "relaxed",
  "final_energy_ev_per_cell": -75.464,
  "raw_formation_energy_kj_per_mol_atoms": -133.4,
  "total_magnetization_mub_per_fu": 0.0,
  "mass_density_kg_m3": 7172,
  "cell": [[3.649, -6.323, 0.000], [3.649, 6.323, 0.000], [-2.425, 0.000, 7.623]],
  "species": ["La", "La", "La", "La", "La", "La", "Ir", "Ir", "Pt", "Cl", "Cl", "Cl"],
  "frac_coords": [[0.091, 0.432, 0.795], [0.227, 0.227, 0.205], [0.432, 0.091, 0.795], [0.568, 0.909, 0.205], [0.773, 0.773, 0.795], [0.909, 0.568, 0.205], [0.167, 0.833, 0.000], [0.833, 0.167, 0.000], [0.500, 0.500, 0.000], [0.000, 0.000, 0.500], [0.331, 0.669, 0.500], [0.669, 0.331, 0.500]]
}

***

# 6
{
  "formula": "AlTcPb2",
  "functional": "PBE",
  "state": "relaxed",
  "formation_energy_ev_per_atom": 0.667,
  "final_energy_ev_per_cell": -37.712,
  "total_magnetization_mub_per_fu": 1.8,
  "mass_density_kg_m3": 10201,
  "cell": [[4.548, 0.000, 0.000], [0.000, 4.548, 0.000], [0.000, 0.000, 8.490]],
  "species": ["Al", "Al", "Tc", "Tc", "Pb", "Pb", "Pb", "Pb"],
  "frac_coords": [[0.000, 0.000, 0.000], [0.500, 0.500, 0.500], [0.000, 0.000, 0.500], [0.500, 0.500, 0.000], [0.000, 0.500, 0.250], [0.000, 0.500, 0.750], [0.500, 0.000, 0.250], [0.500, 0.000, 0.750]]
}

***

# 7
{
  "formula": "CaYTl2",
  "functional": "PBE",
  "state": "relaxed",
  "formation_energy_ev_per_atom": -0.278,
  "final_energy_ev_per_cell": -28.620,
  "total_magnetization_mub_per_fu": 0.0,
  "mass_density_kg_m3": 7296,
  "cell": [[10.055, 0.000, 0.000], [0.000, 3.851, 0.000], [-1.479, 0.000, 6.321]],
  "species": ["Ca", "Ca", "Y", "Y", "Tl", "Tl", "Tl", "Tl"],
  "frac_coords": [[0.000, 0.000, 0.000], [0.500, 0.500, 0.000], [0.000, 0.500, 0.500], [0.500, 0.000, 0.500], [0.249, 0.000, 0.737], [0.251, 0.500, 0.263], [0.749, 0.500, 0.737], [0.751, 0.000, 0.263]]
}

***

# 8
{
  "formula": "CaPm2ThSb4",
  "functional": "PBE",
  "state": "relaxed",
  "final_energy_ev_per_cell": -44.116,
  "raw_formation_energy_kj_per_mol_atoms": -105.0,
  "total_magnetization_mub_per_fu": 0.0,
  "mass_density_kg_m3": 6703,
  "cell": [[0.000, 6.407, 4.504], [4.503, 0.000, 4.504], [4.503, 6.407, 0.000]],
  "species": ["Ca", "Pm", "Pm", "Th", "Sb", "Sb", "Sb", "Sb"],
  "frac_coords": [[0.000, 0.000, 0.000], [0.251, 0.251, 0.249], [0.751, 0.751, 0.749], [0.500, 0.500, 0.500], [0.000, 0.500, 0.000], [0.254, 0.748, 0.252], [0.500, 0.000, 0.500], [0.748, 0.254, 0.746]]
}